Here is PmLuNi after structural relaxation from the Alexandria database. Energies are from PBE.

Cell and atoms, written as POSCAR:
```
PmLuNi
1.0
4.134 0.000 0.000
0.000 4.503 0.000
0.000 -2.251 3.899
Ni Pm Lu
1 1 1
Direct
0.056 0.000 0.000
0.718 0.667 0.333
0.226 0.333 0.667
```

The value obtained for the formation energy is -0.081 eV per atom. Its crystal system is trigonal. As for the total energy: -5.0985 eV/atom. As for the space-group type: P3m1, No. 156. The calculation puts the polymorph energy (0 for the lowest one) at 150 meV per atom.

***

Here is SmTa4Se8 after structural relaxation from the Alexandria database. Energies are from PBE.

Cell and atoms, written as POSCAR:
```
SmTa4Se8
1.0
-4.370 -3.752 -4.167
3.351 -3.173 5.408
-3.623 5.122 5.251
Sm Se Ta
1 8 4
Direct
0.000 0.500 0.500
0.522 0.761 0.766
0.487 0.744 0.231
0.995 0.239 0.234
0.005 0.761 0.766
0.478 0.239 0.234
0.513 0.256 0.769
0.995 0.756 0.234
0.005 0.244 0.766
0.000 0.500 0.000
0.500 0.000 0.000
0.000 0.000 0.000
0.500 0.500 0.000
```

Its crystal system is trigonal. As for the total energy: -7.0198 eV/atom. As for the space-group type: R-3m, No. 166. The value obtained for the uncorrected formation energy is -866 meV/atom.

***

Here is VCuP2S6 after structural relaxation from the Alexandria database. Energies are from PBE.

Cell and atoms, written as POSCAR:
```
VCuP2S6
1.0
-3.628 -2.506 4.049
5.587 -2.105 -0.630
3.451 5.431 3.604
V Cu S P
1 1 6 2
Direct
0.347 0.651 0.007
0.602 0.338 0.813
0.729 0.967 0.227
0.963 0.351 0.764
0.235 0.961 0.768
0.104 0.688 0.217
0.380 0.345 0.229
0.577 0.700 0.761
0.046 0.997 0.155
0.953 0.006 0.847
```

Its crystal system is triclinic. As for the total energy: -5.2546 eV/atom. As for the space-group type: P1, No. 1. The value obtained for the uncorrected formation energy is -375 meV/atom.